1.
The following is a DFT calculation (GGA-PBE) of a relaxed structure of Nd3Sb12Ir5.

a b c (Å): 16.6306 16.6306 16.6306
angles (deg): 90.00 90.00 90.00
Closest atoms and distances in Å follow each position.
Space group Ia-3d (No. 230)
Inequivalent atoms, fractional coordinates:
Nd 0.0000 0.2500 0.1250  8 Sb 3.15-3.47
Sb 0.0409 0.0655 0.6412  2 Ir 2.53-2.68
Ir 0.0000 0.0000 0.0000  6 Sb 2.68
Ir 0.0000 0.2500 0.3750  4 Sb 2.53

## Properties
Raw formation energy in eV per atom: -0.16

***

2.
The following is a DFT calculation (GGA-PBE) of a relaxed structure of PuNpHg2.

a b c (Å): 3.1341 3.1341 9.8066
angles (deg): 90.00 90.00 90.00
Closest atoms and distances in Å follow each position.
Space group P4/mmm (No. 123)
Inequivalent atoms, fractional coordinates:
Pu 0.0000 0.0000 0.0000  4 Pu 3.13, 8 Hg 3.31
Np 0.0000 0.0000 0.5000  4 Np 3.13, 8 Hg 3.30
Hg 0.5000 0.5000 0.2501  4 Hg 3.13, 4 Np 3.30, 4 Pu 3.31

## Properties
Relative energy among the computed polymorphs in meV/atom: 0
ΔH_f (0 K) in eV per atom: 0.048

***

3.
The following is a DFT calculation (GGA-PBE) of a relaxed structure of Bi2TePb2.

a b c (Å): 4.5018 4.5018 17.1326
angles (deg): 90.00 90.00 90.00
Closest atoms and distances in Å follow each position.
Space group I4/mmm (No. 139)
Inequivalent atoms, fractional coordinates:
Bi 0.0000 0.5000 0.2500  4 Bi 3.18, 4 Pb 3.47
Te 0.0000 0.0000 0.0000  8 Pb 3.58
Pb 0.0000 0.0000 0.4041  1 Pb 3.28, 4 Bi 3.47, 4 Te 3.58

## Properties
Raw formation energy in eV per atom: -0.02
Relative energy among the computed polymorphs in meV/atom: 0

***

4.
The following is a DFT calculation (GGA-PBE) of a relaxed structure of TlNCl4.

a b c (Å): 5.3823 11.9599 7.3789
angles (deg): 90.00 90.00 90.00
Closest atoms and distances in Å follow each position.
Space group Amm2 (No. 38)
Inequivalent atoms, fractional coordinates:
Tl 0.0000 0.0000 0.0000  4 Cl 2.37-2.63
N 0.5000 0.0000 0.7649  2 Tl 3.20, 4 Cl 3.56
Cl 0.0000 0.1829 0.8751  1 Tl 2.37
Cl 0.2598 0.0000 0.3012  2 Cl 2.59-2.80, 1 Tl 2.63

## Properties
Raw formation energy in eV per atom: 0.54

***

5.
The following is a DFT calculation (GGA-PBE) of a relaxed structure of SrHfTc2.

a b c (Å): 4.8481 4.8481 18.3695
angles (deg): 90.00 90.00 90.00
Closest atoms and distances in Å follow each position.
Space group I-42d (No. 122)
Inequivalent atoms, fractional coordinates:
Sr 0.0000 0.0000 0.0000  8 Tc 3.41-3.70, 4 Hf 3.43
Hf 0.0000 0.0000 0.5000  4 Tc 2.61
Tc 0.0451 0.2500 0.6250  2 Tc 2.46, 2 Hf 2.61

## Properties
Relative energy among the computed polymorphs in meV/atom: 263
ΔH_f (0 K) in eV per atom: 0.882

***

6.
The following is a DFT calculation (GGA-PBE) of a relaxed structure of Zr5AlRu4.

a b c (Å): 3.2727 3.2727 16.7736
angles (deg): 90.00 90.00 90.00
Closest atoms and distances in Å follow each position.
Space group P4/mmm (No. 123)
Inequivalent atoms, fractional coordinates:
Zr 0.0000 0.0000 0.0000  8 Ru 2.83
Zr 0.0000 0.0000 0.1956  8 Ru 2.83-2.84
Zr 0.0000 0.0000 0.3895  4 Ru 2.82, 4 Al 2.96
Al 0.5000 0.5000 0.5000  8 Zr 2.96, 4 Al 3.27
Ru 0.5000 0.5000 0.0976  8 Zr 2.83-2.84
Ru 0.5000 0.5000 0.2931  8 Zr 2.82-2.83

## Properties
ΔH_f (0 K) in eV per atom: -0.572

***

7.
The following is a DFT calculation (GGA-PBE) of a relaxed structure of CaPdO.

a b c (Å): 9.3153 3.4920 6.4611
angles (deg): 90.00 110.08 90.00
Closest atoms and distances in Å follow each position.
Space group Cm (No. 8)
Inequivalent atoms, fractional coordinates:
Ca 0.0000 0.0000 0.0000  4 O 2.31-2.56
Ca 0.1828 0.0000 0.6879  3 O 2.23-2.33
Pd 0.2154 0.5000 0.3489  3 Pd 2.66-2.67, 2 Ca 2.90
Pd 0.4357 0.0000 0.3741  2 O 2.07-2.14
O 0.0281 0.5000 0.7264  1 Pd 2.14, 2 Ca 2.33
O 0.3477 0.0000 0.0334  1 Pd 2.07, 3 Ca 2.23-2.31

## Properties
Raw formation energy in eV per atom: -1.45

***

8.
The following is a DFT calculation (GGA-PBE) of a relaxed structure of KCeAgBr5.

a b c (Å): 9.4273 13.0534 10.8953
angles (deg): 90.00 112.46 90.00
Closest atoms and distances in Å follow each position.
Space group C2/c (No. 15)
Inequivalent atoms, fractional coordinates:
K 0.0000 0.1436 0.2500  5 Br 3.34-3.49
Ce 0.0000 0.5000 0.0000  6 Br 2.91-2.96
Ag 0.0000 0.1883 0.7500  4 Br 2.69-2.73
Br 0.0000 0.4107 0.2500  2 Ce 2.96
Br 0.1266 0.3015 0.6117  1 Ag 2.69, 1 Ce 2.92
Br 0.1836 0.0599 0.9439  1 Ag 2.73, 1 Ce 2.91

## Properties
Raw formation energy in eV per atom: -1.42

***

| no. | D(E_F) (states/eV per atom) |
| --- | --- |
| 1 | 0.79 |
| 2 | 2.67 |
| 3 | 0.45 |
| 4 | 0.25 |
| 5 | 1.13 |
| 6 | 0.53 |
| 7 | 0.01 |
| 8 | 0.98 |